(1)
Tb4Ho3Bi4 | PBE | optimized geometry

Properties
- Calculated volume: 30.7 A^3/atom
- Formation enthalpy at 0 K: -0.5241 eV per atom
- Crystal system: orthorhombic
- Size of the total moment: 0.188 μB per atom
- VASP energy: -53.54 eV/f.u.

Lattice parameters (Å, degrees): 10.280 10.280 10.280 157.29 126.07 59.26
Positions (direct):
Tb: 0.018 0.835 0.183
Tb: 0.349 0.165 0.183
Tb: 0.651 0.835 0.817
Tb: 0.982 0.165 0.817
Ho: 0.000 0.500 0.500
Ho: 0.399 0.399 0.000
Ho: 0.601 0.601 0.000
Bi: 0.265 0.765 0.500
Bi: 0.295 0.000 0.295
Bi: 0.705 0.000 0.705
Bi: 0.735 0.235 0.500

=====

(2)
Mn6FeRu5 | PBE | optimized geometry

Properties
- Calculated volume: 13.1 A^3/atom
- Formation enthalpy at 0 K: 0.0554 eV per atom
- Crystal system: orthorhombic
- Size of the total moment: 1.561 μB per atom
- VASP energy: -109.19 eV/f.u.

Lattice parameters (Å, degrees): 7.272 7.272 7.272 146.38 131.81 60.05
Positions (direct):
Mn: 0.082 0.337 0.744
Mn: 0.240 0.000 0.240
Mn: 0.407 0.663 0.744
Mn: 0.593 0.337 0.256
Mn: 0.760 0.000 0.760
Mn: 0.918 0.663 0.256
Fe: 0.000 0.500 0.500
Ru: 0.170 0.170 0.000
Ru: 0.333 0.833 0.500
Ru: 0.500 0.500 0.000
Ru: 0.667 0.167 0.500
Ru: 0.830 0.830 0.000

=====

(3)
SrSn3H | PBE | optimized geometry

Properties
- Calculated volume: 47.6 A^3/atom
- Crystal system: cubic
- Size of the total moment: 0.283 μB per atom
- VASP energy: -10.78 eV/f.u.

Lattice parameters (Å, degrees): 6.199 6.199 6.199 90.00 90.00 90.00
Positions (direct):
Sr: 0.000 0.000 0.000
Sn: 0.000 0.000 0.500
Sn: 0.000 0.500 0.000
Sn: 0.500 0.000 0.000
H: 0.500 0.500 0.500

=====

(4)
Ho2CdRu | PBE | optimized geometry

Properties
- Calculated volume: 22.2 A^3/atom
- Formation enthalpy at 0 K: -0.3069 eV per atom
- Crystal system: cubic
- Size of the total moment: 0.000 μB per atom
- VASP energy: -20.57 eV/f.u.

Lattice parameters (Å, degrees): 5.009 5.009 5.009 60.00 60.00 60.00
Positions (direct):
Ho: 0.250 0.250 0.250
Ho: 0.750 0.750 0.750
Cd: 0.000 0.000 0.000
Ru: 0.500 0.500 0.500

=====

> Among the records above, which one has the highest VASP energy?

SrSn3H